<1>
VASP calculation (GGA-PBE) on a relaxed structure of NdTl2Ga.

Cell and atoms, written as CIF:
```
data_NdTl2Ga
_space_group_name_H-M_alt 'P 1'
_space_group_IT_number 1
_cell_length_a 4.653
_cell_length_b 4.653
_cell_length_c 4.794
_cell_angle_alpha 90.00
_cell_angle_beta 90.00
_cell_angle_gamma 90.00
loop_
_space_group_symop_operation_xyz
'x,y,z'
loop_
_atom_site_label
_atom_site_type_symbol
_atom_site_fract_x
_atom_site_fract_y
_atom_site_fract_z
_atom_site_occupancy
Nd1 Nd 0.000 0.000 0.000 1
Tl1 Tl 0.000 0.500 0.500 1
Tl2 Tl 0.500 0.000 0.500 1
Ga1 Ga 0.500 0.500 0.000 1
```

Output
**Total moment**: 0.0 μB per cell
**Space group**: No. 123
**DOS(E_F)**: 1.84 states/eV per cell
**V**: 103.8 Å³/f.u.

***

<2>
VASP calculation (GGA-PBE) on a relaxed structure of NdTl2Ga.

Cell and atoms, written as CIF:
```
data_NdTl2Ga
_space_group_name_H-M_alt 'P 1'
_space_group_IT_number 1
_cell_length_a 3.501
_cell_length_b 3.501
_cell_length_c 33.730
_cell_angle_alpha 90.00
_cell_angle_beta 90.00
_cell_angle_gamma 120.00
loop_
_space_group_symop_operation_xyz
'x,y,z'
loop_
_atom_site_label
_atom_site_type_symbol
_atom_site_fract_x
_atom_site_fract_y
_atom_site_fract_z
_atom_site_occupancy
Nd1 Nd 0.000 0.000 0.000 1
Nd2 Nd 0.333 0.667 0.667 1
Nd3 Nd 0.667 0.333 0.333 1
Tl1 Tl 0.000 0.000 0.095 1
Tl2 Tl 0.000 0.000 0.905 1
Tl3 Tl 0.333 0.667 0.571 1
Tl4 Tl 0.333 0.667 0.762 1
Tl5 Tl 0.667 0.333 0.238 1
Tl6 Tl 0.667 0.333 0.429 1
Ga1 Ga 0.000 0.000 0.500 1
Ga2 Ga 0.333 0.667 0.167 1
Ga3 Ga 0.667 0.333 0.833 1
```

Output
**Total moment**: 0.0 μB per cell
**Space group**: No. 166
**DOS(E_F)**: 6.68 states/eV per cell
**V**: 119.3 Å³/f.u.

***

What is the stability order? It is <1>, <2>, from most stable to least stable.

***

<1>
VASP calculation (GGA-PBE) on a relaxed structure of NdYTlGa.

Cell and atoms, written as CIF:
```
data_NdYTlGa
_space_group_name_H-M_alt 'P 1'
_space_group_IT_number 1
_cell_length_a 3.689
_cell_length_b 3.689
_cell_length_c 7.731
_cell_angle_alpha 90.00
_cell_angle_beta 90.00
_cell_angle_gamma 90.00
loop_
_space_group_symop_operation_xyz
'x,y,z'
loop_
_atom_site_label
_atom_site_type_symbol
_atom_site_fract_x
_atom_site_fract_y
_atom_site_fract_z
_atom_site_occupancy
Nd1 Nd 0.000 0.000 0.000 1
Y1 Y 0.000 0.000 0.534 1
Tl1 Tl 0.500 0.500 0.278 1
Ga1 Ga 0.500 0.500 0.756 1
```

Output
**Total moment**: 0.0 μB per cell
**Space group**: No. 99
**DOS(E_F)**: 1.88 states/eV per cell
**V**: 105.2 Å³/f.u.

***

<2>
VASP calculation (GGA-PBE) on a relaxed structure of NdYTlGa.

Cell and atoms, written as CIF:
```
data_NdYTlGa
_space_group_name_H-M_alt 'P 1'
_space_group_IT_number 1
_cell_length_a 7.514
_cell_length_b 7.514
_cell_length_c 7.514
_cell_angle_alpha 90.00
_cell_angle_beta 90.00
_cell_angle_gamma 90.00
loop_
_space_group_symop_operation_xyz
'x,y,z'
loop_
_atom_site_label
_atom_site_type_symbol
_atom_site_fract_x
_atom_site_fract_y
_atom_site_fract_z
_atom_site_occupancy
Nd1 Nd 0.000 0.000 0.000 1
Nd2 Nd 0.000 0.500 0.500 1
Nd3 Nd 0.500 0.000 0.500 1
Nd4 Nd 0.500 0.500 0.000 1
Y1 Y 0.000 0.000 0.500 1
Y2 Y 0.000 0.500 0.000 1
Y3 Y 0.500 0.000 0.000 1
Y4 Y 0.500 0.500 0.500 1
Tl1 Tl 0.250 0.250 0.750 1
Tl2 Tl 0.250 0.750 0.250 1
Tl3 Tl 0.750 0.250 0.250 1
Tl4 Tl 0.750 0.750 0.750 1
Ga1 Ga 0.250 0.250 0.250 1
Ga2 Ga 0.250 0.750 0.750 1
Ga3 Ga 0.750 0.250 0.750 1
Ga4 Ga 0.750 0.750 0.250 1
```

Output
**Total moment**: 0.0 μB per cell
**Space group**: No. 216
**DOS(E_F)**: 8.78 states/eV per cell
**V**: 106.1 Å³/f.u.

***

What is the stability order? It is <1>, <2>, from most stable to least stable.

***

<1>
VASP calculation (GGA-PBE) on a relaxed structure of NdTmGa4.

Cell and atoms, written as CIF:
```
data_NdTmGa4
_space_group_name_H-M_alt 'P 1'
_space_group_IT_number 1
_cell_length_a 4.242
_cell_length_b 7.336
_cell_length_c 8.328
_cell_angle_alpha 90.00
_cell_angle_beta 90.00
_cell_angle_gamma 90.00
loop_
_space_group_symop_operation_xyz
'x,y,z'
loop_
_atom_site_label
_atom_site_type_symbol
_atom_site_fract_x
_atom_site_fract_y
_atom_site_fract_z
_atom_site_occupancy
Nd1 Nd 0.000 0.000 0.000 1
Nd2 Nd 0.500 0.500 0.500 1
Tm1 Tm 0.000 0.000 0.500 1
Tm2 Tm 0.500 0.500 0.000 1
Ga1 Ga 0.000 0.333 0.248 1
Ga2 Ga 0.000 0.333 0.752 1
Ga3 Ga 0.000 0.667 0.248 1
Ga4 Ga 0.000 0.667 0.752 1
Ga5 Ga 0.500 0.167 0.252 1
Ga6 Ga 0.500 0.167 0.748 1
Ga7 Ga 0.500 0.833 0.252 1
Ga8 Ga 0.500 0.833 0.748 1
```

Output
**Total moment**: 0.0 μB per cell
**Space group**: No. 71
**DOS(E_F)**: 4.93 states/eV per cell
**V**: 129.6 Å³/f.u.

***

<2>
VASP calculation (GGA-PBE) on a relaxed structure of NdTmGa4.

Cell and atoms, written as CIF:
```
data_NdTmGa4
_space_group_name_H-M_alt 'P 1'
_space_group_IT_number 1
_cell_length_a 5.556
_cell_length_b 5.556
_cell_length_c 5.556
_cell_angle_alpha 60.00
_cell_angle_beta 60.00
_cell_angle_gamma 60.00
loop_
_space_group_symop_operation_xyz
'x,y,z'
loop_
_atom_site_label
_atom_site_type_symbol
_atom_site_fract_x
_atom_site_fract_y
_atom_site_fract_z
_atom_site_occupancy
Nd1 Nd 0.000 0.000 0.000 1
Tm1 Tm 0.250 0.250 0.250 1
Ga1 Ga 0.125 0.625 0.625 1
Ga2 Ga 0.625 0.125 0.625 1
Ga3 Ga 0.625 0.625 0.125 1
Ga4 Ga 0.625 0.625 0.625 1
```

Output
**Total moment**: 0.0 μB per cell
**Space group**: No. 216
**DOS(E_F)**: 4.36 states/eV per cell
**V**: 121.3 Å³/f.u.

***

What is the stability order? It is <1>, <2>, from most stable to least stable.

***

<1>
VASP calculation (GGA-PBE) on a relaxed structure of Nd2TmGa.

Cell and atoms, written as CIF:
```
data_Nd2TmGa
_space_group_name_H-M_alt 'P 1'
_space_group_IT_number 1
_cell_length_a 3.698
_cell_length_b 3.698
_cell_length_c 31.192
_cell_angle_alpha 90.00
_cell_angle_beta 90.00
_cell_angle_gamma 120.00
loop_
_space_group_symop_operation_xyz
'x,y,z'
loop_
_atom_site_label
_atom_site_type_symbol
_atom_site_fract_x
_atom_site_fract_y
_atom_site_fract_z
_atom_site_occupancy
Nd1 Nd 0.000 0.000 0.000 1
Nd2 Nd 0.000 0.000 0.188 1
Nd3 Nd 0.333 0.667 0.667 1
Nd4 Nd 0.333 0.667 0.855 1
Nd5 Nd 0.667 0.333 0.333 1
Nd6 Nd 0.667 0.333 0.522 1
Tm1 Tm 0.000 0.000 0.761 1
Tm2 Tm 0.333 0.667 0.428 1
Tm3 Tm 0.667 0.333 0.094 1
Ga1 Ga 0.000 0.000 0.595 1
Ga2 Ga 0.333 0.667 0.261 1
Ga3 Ga 0.667 0.333 0.928 1
```

Output
**Total moment**: 2.4 μB per cell
**Space group**: No. 160
**DOS(E_F)**: 15.37 states/eV per cell
**V**: 123.1 Å³/f.u.

***

<2>
VASP calculation (GGA-PBE) on a relaxed structure of Nd2TmGa.

Cell and atoms, written as CIF:
```
data_Nd2TmGa
_space_group_name_H-M_alt 'P 1'
_space_group_IT_number 1
_cell_length_a 3.684
_cell_length_b 9.941
_cell_length_c 6.679
_cell_angle_alpha 90.00
_cell_angle_beta 106.00
_cell_angle_gamma 90.00
loop_
_space_group_symop_operation_xyz
'x,y,z'
loop_
_atom_site_label
_atom_site_type_symbol
_atom_site_fract_x
_atom_site_fract_y
_atom_site_fract_z
_atom_site_occupancy
Nd1 Nd 0.134 0.050 0.268 1
Nd2 Nd 0.134 0.450 0.268 1
Nd3 Nd 0.866 0.550 0.732 1
Nd4 Nd 0.866 0.950 0.732 1
Tm1 Tm 0.442 0.250 0.885 1
Tm2 Tm 0.558 0.750 0.115 1
Ga1 Ga 0.240 0.750 0.480 1
Ga2 Ga 0.760 0.250 0.520 1
```

Output
**Total moment**: 0.0 μB per cell
**Space group**: No. 11
**DOS(E_F)**: 9.99 states/eV per cell
**V**: 117.6 Å³/f.u.

***

<3>
VASP calculation (GGA-PBE) on a relaxed structure of Nd2TmGa.

Cell and atoms, written as CIF:
```
data_Nd2TmGa
_space_group_name_H-M_alt 'P 1'
_space_group_IT_number 1
_cell_length_a 3.547
_cell_length_b 3.547
_cell_length_c 34.502
_cell_angle_alpha 90.00
_cell_angle_beta 90.00
_cell_angle_gamma 120.00
loop_
_space_group_symop_operation_xyz
'x,y,z'
loop_
_atom_site_label
_atom_site_type_symbol
_atom_site_fract_x
_atom_site_fract_y
_atom_site_fract_z
_atom_site_occupancy
Nd1 Nd 0.000 0.000 0.100 1
Nd2 Nd 0.000 0.000 0.900 1
Nd3 Nd 0.333 0.667 0.566 1
Nd4 Nd 0.333 0.667 0.767 1
Nd5 Nd 0.667 0.333 0.233 1
Nd6 Nd 0.667 0.333 0.434 1
Tm1 Tm 0.000 0.000 0.000 1
Tm2 Tm 0.333 0.667 0.667 1
Tm3 Tm 0.667 0.333 0.333 1
Ga1 Ga 0.000 0.000 0.500 1
Ga2 Ga 0.333 0.667 0.167 1
Ga3 Ga 0.667 0.333 0.833 1
```

Output
**Total moment**: 0.3 μB per cell
**Space group**: No. 166
**DOS(E_F)**: 17.50 states/eV per cell
**V**: 125.3 Å³/f.u.

***

<4>
VASP calculation (GGA-PBE) on a relaxed structure of Nd2TmGa.

Cell and atoms, written as CIF:
```
data_Nd2TmGa
_space_group_name_H-M_alt 'P 1'
_space_group_IT_number 1
_cell_length_a 4.789
_cell_length_b 4.789
_cell_length_c 4.841
_cell_angle_alpha 90.00
_cell_angle_beta 90.00
_cell_angle_gamma 90.00
loop_
_space_group_symop_operation_xyz
'x,y,z'
loop_
_atom_site_label
_atom_site_type_symbol
_atom_site_fract_x
_atom_site_fract_y
_atom_site_fract_z
_atom_site_occupancy
Nd1 Nd 0.000 0.500 0.000 1
Nd2 Nd 0.500 0.000 0.000 1
Tm1 Tm 0.000 0.000 0.500 1
Ga1 Ga 0.500 0.500 0.500 1
```

Output
**Total moment**: 0.0 μB per cell
**Space group**: No. 123
**DOS(E_F)**: 5.34 states/eV per cell
**V**: 111.0 Å³/f.u.

***

What is the stability order? It is <2>, <4>, <1>, <3>, from most stable to least stable.